VASP calculation (GGA+U) on an optimized crystal structure of TiCr2BiO8.

- space-group type = P2/m (10)
- calculated total energy (eV/atom) = -7.28
- spin magnetization (μB per cell) = 5.0
- density (g/cm3) = 5.91
- D(E_F) (states/eV per atom) = 0.28

Cell lengths 4.681, 4.676, 6.277 Å; angles 90.00, 90.00, 90.36 degrees
Site moments in Bohr magnetons follow the coordinates.
Fractional coordinates of all 12 atoms:
O 0.679 0.681 0.500  -0.06
Cr 0.500 0.500 0.762  2.77
O 0.801 0.201 0.770  -0.04
O 0.199 0.799 0.230  -0.04
Bi 0.000 0.000 0.500  0.03
O 0.199 0.799 0.770  -0.04
O 0.801 0.201 0.230  -0.04
O 0.321 0.319 0.500  -0.06
O 0.692 0.694 0.000  -0.21
Cr 0.500 0.500 0.238  2.77
O 0.308 0.306 0.000  -0.21
Ti 0.000 0.000 0.000  0.09